MnTe2Ru: relaxed, PBE-GGA.

a = 8.6912 Å, b = 8.6912 Å, c = 8.6912 Å
α = 21.88°, β = 21.88°, γ = 21.88°
Element x y z (fractional)
Mn (0.0000, 0.0000, 0.0000)
Te (0.4012, 0.4012, 0.4012)
Te (0.5988, 0.5988, 0.5988)
Ru (0.5000, 0.5000, 0.5000)

- Formation energy without anion corrections: 564.6 meV per atom
- Size of the total moment: 0.000 μB/cell
- D(E_F): 7.1 states/eV/cell
- Polymorph energy (0 for the lowest one): 2.68 eV per formula unit

MgSc12Co6: relaxed, PBE-GGA.

a = 7.8202 Å, b = 7.8202 Å, c = 7.8202 Å
α = 109.47°, β = 109.47°, γ = 109.47°
Element x y z (fractional)
Mg (0.0000, 0.0000, 0.0000)
Sc (0.1012, 0.2990, 0.8021)
Sc (0.1979, 0.4969, 0.2990)
Sc (0.1979, 0.8988, 0.7010)
Sc (0.2990, 0.1979, 0.4969)
Sc (0.2990, 0.8021, 0.1012)
Sc (0.4969, 0.2990, 0.1979)
Sc (0.5031, 0.7010, 0.8021)
Sc (0.7010, 0.1979, 0.8988)
Sc (0.7010, 0.8021, 0.5031)
Sc (0.8021, 0.1012, 0.2990)
Sc (0.8021, 0.5031, 0.7010)
Sc (0.8988, 0.7010, 0.1979)
Co (0.1200, 0.5000, 0.6200)
Co (0.3800, 0.8800, 0.5000)
Co (0.5000, 0.3800, 0.8800)
Co (0.5000, 0.6200, 0.1200)
Co (0.6200, 0.1200, 0.5000)
Co (0.8800, 0.5000, 0.3800)

- Formation enthalpy at 0 K: -0.23 eV per atom
- Size of the total moment: 0.000 μB/cell
- D(E_F): 19.1 states/eV/cell